A plane-wave DFT calculation with GGA-PBE was carried out for a relaxed HgSbTe2S crystal.

Cell: 5.563 5.563 5.657 Å, 90.00 90.00 90.00°
Positions (direct):
Hg 0.000 0.000 0.000
Sb 0.000 0.000 0.500
Te 0.000 0.500 0.000
Te 0.500 0.000 0.000
S 0.500 0.500 0.500

Summary:
Its density is 5.8 g/cm3. Its total energy is -1.94 eV per atom. As for the space-group type: P4/mmm. Its uncorrected formation energy is 5.1 eV per formula unit. The energy above the most stable polymorph in this dataset comes out at 0.5519 eV/atom.



A plane-wave DFT calculation with GGA-PBE was carried out for a relaxed HgSb2TeS crystal.

Cell: 5.317 5.317 5.286 Å, 90.00 90.00 90.00°
Positions (direct):
Hg 0.000 0.000 0.000
Sb 0.000 0.500 0.500
Sb 0.500 0.000 0.500
Te 0.500 0.500 0.000
S 0.500 0.500 0.500

Summary:
Its density is 6.7 g/cm3. Its total energy is -2.66 eV per atom. As for the space-group type: P4/mmm. Its uncorrected formation energy is 2.5 eV per formula unit. The energy above the most stable polymorph in this dataset comes out at 0.0000 eV/atom.



A plane-wave DFT calculation with GGA-PBE was carried out for a relaxed HgSbTe2S crystal.

Cell: 5.324 5.324 5.305 Å, 90.00 90.00 90.00°
Positions (direct):
Hg 0.000 0.000 0.000
Sb 0.500 0.500 0.000
Te 0.000 0.500 0.500
Te 0.500 0.000 0.500
S 0.500 0.500 0.500

Summary:
Its density is 6.7 g/cm3. Its total energy is -2.50 eV per atom. As for the space-group type: P4/mmm. Its uncorrected formation energy is 2.4 eV per formula unit. The energy above the most stable polymorph in this dataset comes out at 0.0000 eV/atom.



A plane-wave DFT calculation with GGA-PBE was carried out for a relaxed HgSb2TeS crystal.

Cell: 5.587 5.587 5.472 Å, 90.00 90.00 90.00°
Positions (direct):
Hg 0.000 0.000 0.000
Sb 0.000 0.500 0.000
Sb 0.500 0.000 0.000
Te 0.000 0.000 0.500
S 0.500 0.500 0.500

Summary:
Its density is 5.9 g/cm3. Its total energy is -2.11 eV per atom. As for the space-group type: P4/mmm. Its uncorrected formation energy is 5.3 eV per formula unit. The energy above the most stable polymorph in this dataset comes out at 0.5485 eV/atom.



> What is the formula in the third record?

HgSbTe2S